Record 1
VHPtRh2, optimized geometry, DFT GGA-PBE; total magnetization = 0.00 μB/f.u.; DFT total energy = -0.254 Ha/atom; V = 11.82 Å³ per atom
1.0
3.8784 0.0000 0.0000
0.0000 3.8784 0.0000
0.0000 0.0000 3.9297
V H Pt Rh
1 1 1 2
Cartesian
0.0000 0.0000 0.0000
0.0000 0.0000 1.9648
1.9392 1.9392 0.0000
0.0000 1.9392 1.9648
1.9392 0.0000 1.9648

Record 2
HPtRhW2, optimized geometry, DFT GGA-PBE; total magnetization = 0.00 μB/f.u.; DFT total energy = -0.313 Ha/atom; V = 12.74 Å³ per atom
1.0
3.9276 0.0000 0.0000
0.0000 3.9276 0.0000
0.0000 0.0000 4.1284
H Pt Rh W
1 1 1 2
Cartesian
0.0000 0.0000 0.0000
0.0000 0.0000 2.0642
1.9638 1.9638 2.0642
0.0000 1.9638 0.0000
1.9638 0.0000 0.0000

Record 3
HPtRhW2, optimized geometry, DFT GGA-PBE; total magnetization = 0.00 μB/f.u.; DFT total energy = -0.315 Ha/atom; V = 12.69 Å³ per atom
1.0
3.9433 0.0000 0.0000
0.0000 3.9433 0.0000
0.0000 0.0000 4.0797
H Pt Rh W
1 1 1 2
Cartesian
0.0000 0.0000 0.0000
1.9716 1.9716 2.0399
0.0000 0.0000 2.0399
0.0000 1.9716 0.0000
1.9716 0.0000 0.0000

Record 4
YH8Pt2Rh3, optimized geometry, DFT GGA-PBE; total magnetization = 0.00 μB/f.u.; DFT total energy = -0.184 Ha/atom; V = 9.25 Å³ per atom
1.0
2.8320 1.6351 4.6588
-2.8320 1.6351 4.6588
0.0000 -3.2702 4.6588
Y H Pt Rh
1 8 2 3
Cartesian
0.0000 0.0000 0.0000
0.0000 -1.8334 7.1174
-1.5878 0.9167 7.1174
0.0000 0.0000 5.4206
-1.0413 -0.6012 10.0645
1.0413 -0.6012 10.0645
0.0000 1.2024 10.0645
0.0000 0.0000 11.8218
1.5878 0.9167 7.1174
0.0000 0.0000 3.5871
0.0000 0.0000 8.6909
-1.4015 -0.8091 6.4495
1.4015 -0.8091 6.4496
0.0000 1.6183 6.4496

Question: Among the records above, which one has the highest DFT total energy?
Answer: YH8Pt2Rh3